[1]
DFT (PBE-GGA) results for a geometry-optimized TmPb2BrO4 structure.

## Properties
space-group type	No. 123
E_tot	-0.4310	Ry/atom

Cell lengths 3.961, 3.961, 9.165 Å; angles 90.00, 90.00, 90.00 degrees
Fractional positions:
Tm  0.000  0.000  0.000
O  0.500  0.000  0.140
O  0.500  0.000  0.860
Pb  0.500  0.500  0.262
Pb  0.500  0.500  0.738
O  0.000  0.500  0.860
O  0.000  0.500  0.140
Br  0.000  0.000  0.500

=====

[2]
DFT (PBE-GGA) results for a geometry-optimized AcNdGa structure.

## Properties
space-group type	No. 2
excess energy over the best structure of this formula in the dataset	51	meV per atom

Cell lengths 3.757, 7.373, 7.432 Å; angles 104.49, 104.61, 89.99 degrees
Fractional positions:
Ac  0.312  0.491  0.385
Ga  0.941  0.855  0.647
Ac  0.566  0.613  0.904
Nd  0.288  0.971  0.342
Nd  0.590  0.133  0.947
Ga  0.937  0.249  0.642

=====

[3]
DFT (PBE-GGA) results for a geometry-optimized BaFeBr5 structure.

## Properties
space-group type	No. 15
E_tot	-0.2821	Ry/atom

Cell lengths 7.893, 7.892, 11.761 Å; angles 111.27, 111.30, 84.69 degrees
Fractional positions:
Br  0.766  0.374  0.698
Br  0.874  0.266  0.198
Br  0.247  0.343  0.935
Br  0.234  0.626  0.302
Fe  0.080  0.420  0.750
Br  0.753  0.657  0.065
Br  0.600  0.901  0.750
Br  0.400  0.099  0.250
Ba  0.500  0.000  0.000
Ba  0.500  0.000  0.500
Br  0.843  0.748  0.435
Fe  0.920  0.580  0.250
Br  0.157  0.252  0.565
Br  0.126  0.734  0.802

=====

[4]
DFT (PBE-GGA) results for a geometry-optimized AcPd4 structure.

## Properties
space-group type	No. 74
excess energy over the best structure of this formula in the dataset	0	meV per atom

Cell lengths 4.496, 6.159, 8.012 Å; angles 112.61, 106.30, 90.00 degrees
Fractional positions:
Pd  0.113  0.363  0.226
Pd  0.500  0.000  0.000
Pd  0.304  0.774  0.608
Pd  0.500  0.500  0.000
Ac  0.110  0.860  0.221
Pd  0.304  0.335  0.608
Pd  0.887  0.637  0.774
Ac  0.890  0.140  0.779
Pd  0.696  0.665  0.392
Pd  0.696  0.226  0.392

=====

[5]
DFT (PBE-GGA) results for a geometry-optimized GaReTcW structure.

## Properties
space-group type	No. 216
E_tot	-0.7142	Ry/atom

Cell lengths 4.401, 4.401, 4.401 Å; angles 60.00, 60.00, 60.00 degrees
Fractional positions:
W  0.250  0.250  0.250
Tc  0.500  0.500  0.500
Ga  0.750  0.750  0.750
Re  0.000  0.000  0.000

=====

no.,total magnetic moment (Bohr magnetons per cell)
1,0.00
2,0.00
3,9.79
4,0.00
5,0.00